AcTh2Mg: optimized geometry, PBE-GGA.

Results
Symmetry ... R-3m (166)
Total moment ... 0.0 μB per cell
ΔH_f (0 K) ... 0.32 eV/atom

Structure (CIF):
```
data_AcTh2Mg
_symmetry_space_group_name_H-M 'P 1'
_symmetry_Int_Tables_number 1
_cell_length_a 3.4873
_cell_length_b 3.4873
_cell_length_c 12.9579
_cell_angle_alpha 82.27
_cell_angle_beta 82.27
_cell_angle_gamma 60.00
loop_
_symmetry_equiv_pos_as_xyz
'x,y,z'
loop_
_atom_site_label
_atom_site_fract_x
_atom_site_fract_y
_atom_site_fract_z
Ac1 0.0000 0.0000 0.0000
Mg1 0.5000 0.5000 0.5000
Th1 0.0926 0.0926 0.7222
Th2 0.9074 0.9074 0.2778
```

---

AcTh2Mg: optimized geometry, PBE-GGA.

Results
Symmetry ... P4/mmm (123)
Total moment ... 0.0 μB per cell
ΔH_f (0 K) ... 0.14 eV/atom

Structure (CIF):
```
data_AcTh2Mg
_symmetry_space_group_name_H-M 'P 1'
_symmetry_Int_Tables_number 1
_cell_length_a 3.7531
_cell_length_b 3.7531
_cell_length_c 9.3602
_cell_angle_alpha 90.00
_cell_angle_beta 90.00
_cell_angle_gamma 90.00
loop_
_symmetry_equiv_pos_as_xyz
'x,y,z'
loop_
_atom_site_label
_atom_site_fract_x
_atom_site_fract_y
_atom_site_fract_z
Ac1 0.5000 0.5000 0.5000
Mg1 0.5000 0.5000 0.0000
Th1 0.0000 0.0000 0.7808
Th2 0.0000 0.0000 0.2192
```

---

Ac2ThMg: optimized geometry, PBE-GGA.

Results
Symmetry ... P4/mmm (123)
Total moment ... 0.0 μB per cell
ΔH_f (0 K) ... 0.04 eV/atom

Structure (CIF):
```
data_Ac2ThMg
_symmetry_space_group_name_H-M 'P 1'
_symmetry_Int_Tables_number 1
_cell_length_a 3.8234
_cell_length_b 3.8234
_cell_length_c 9.9799
_cell_angle_alpha 90.00
_cell_angle_beta 90.00
_cell_angle_gamma 90.00
loop_
_symmetry_equiv_pos_as_xyz
'x,y,z'
loop_
_atom_site_label
_atom_site_fract_x
_atom_site_fract_y
_atom_site_fract_z
Ac1 0.0000 0.0000 0.7579
Ac2 0.0000 0.0000 0.2421
Mg1 0.5000 0.5000 0.0000
Th1 0.5000 0.5000 0.5000
```

---

Ac2ThMg: optimized geometry, PBE-GGA.

Results
Symmetry ... R-3m (166)
Total moment ... 0.0 μB per cell
ΔH_f (0 K) ... 0.33 eV/atom

Structure (CIF):
```
data_Ac2ThMg
_symmetry_space_group_name_H-M 'P 1'
_symmetry_Int_Tables_number 1
_cell_length_a 3.6376
_cell_length_b 3.6376
_cell_length_c 13.1844
_cell_angle_alpha 82.07
_cell_angle_beta 82.07
_cell_angle_gamma 60.00
loop_
_symmetry_equiv_pos_as_xyz
'x,y,z'
loop_
_atom_site_label
_atom_site_fract_x
_atom_site_fract_y
_atom_site_fract_z
Ac1 0.0912 0.0912 0.7263
Ac2 0.9088 0.9088 0.2737
Mg1 0.5000 0.5000 0.5000
Th1 0.0000 0.0000 0.0000
```

---

| no. | relative energy among the computed polymorphs (eV per atom) | mass density (Mg/m³) |
| --- | --- | --- |
| 1 | 0.1873 | 8.81 |
| 2 | 0.0060 | 9.01 |
| 3 | 0.0000 | 8.09 |
| 4 | 0.2975 | 7.91 |